(1)
# PbAuBrF2, optimized geometry, DFT GGA-PBE
# Energy   -3.61 eV/atom
data_PbAuBrF2
_cell_length_a 5.597
_cell_length_b 12.330
_cell_length_c 5.550
_cell_angle_alpha 90.00
_cell_angle_beta 90.00
_cell_angle_gamma 90.00
_space_group_name_H-M_alt 'C m c m'
_space_group_IT_number 63
_space_group_name_Hall '-C 2c 2'
loop_
_atom_site_label
_atom_site_fract_x
_atom_site_fract_y
_atom_site_fract_z
Pb1 0.000 0.103 0.250
Au1 0.000 0.352 0.250
Br1 0.000 0.258 0.750
F1 0.250 0.000 0.000

---

(2)
# TaCoSn, optimized geometry, DFT GGA-PBE
# Magnetization   0.10 μB/cell
# Energy   -7.64 eV/atom
data_TaCoSn
_cell_length_a 6.341
_cell_length_b 4.245
_cell_length_c 7.546
_cell_angle_alpha 90.00
_cell_angle_beta 90.00
_cell_angle_gamma 90.00
_space_group_name_H-M_alt 'P n m a'
_space_group_IT_number 62
loop_
_space_group_symop_operation_xyz
'x,y,z'
'-x,-y,-z'
'-x+1/2,-y,z+1/2'
'x+1/2,y,-z+1/2'
'x+1/2,-y+1/2,-z+1/2'
'-x+1/2,y+1/2,z+1/2'
'-x,y+1/2,-z'
'x,-y+1/2,z'
loop_
_atom_site_label
_atom_site_fract_x
_atom_site_fract_y
_atom_site_fract_z
Ta1 0.009 0.250 0.246
Co1 0.130 0.250 0.577
Sn1 0.227 0.250 0.914

---

(3)
# LiLaSiPd, optimized geometry, DFT GGA-PBE
# Magnetization   0.00 μB/cell
# Energy   -4.88 eV/atom
data_LiLaSiPd
_cell_length_a 6.711
_cell_length_b 6.711
_cell_length_c 6.711
_cell_angle_alpha 90.00
_cell_angle_beta 90.00
_cell_angle_gamma 90.00
_space_group_name_H-M_alt 'F -4 3 m'
_space_group_IT_number 216
_space_group_name_Hall 'F -4 2 3'
loop_
_atom_site_label
_atom_site_fract_x
_atom_site_fract_y
_atom_site_fract_z
Li1 0.000 0.000 0.000
La1 0.250 0.250 0.750
Si1 0.000 0.000 0.500
Pd1 0.250 0.250 0.250

---

(4)
# KNb3N5, optimized geometry, DFT GGA-PBE
# Magnetization   0.00 μB/cell
# Energy   -7.94 eV/atom
data_KNb3N5
_cell_length_a 5.3326
_cell_length_b 5.3326
_cell_length_c 6.1002
_cell_angle_alpha 90.00
_cell_angle_beta 90.00
_cell_angle_gamma 120.00
_space_group_name_H-M_alt 'P 6/m m m'
_space_group_IT_number 191
_space_group_name_Hall '-P 6 2'
loop_
_atom_site_label
_atom_site_fract_x
_atom_site_fract_y
_atom_site_fract_z
K1 0.0000 0.0000 0.0000
Nb1 0.0000 0.5000 0.5000
N1 0.0000 0.0000 0.5000
N2 0.3333 0.6667 0.2733

---

(5)
# RbSmHgTe3, optimized geometry, DFT GGA-PBE
# Magnetization   0.00 μB/cell
# Energy   -3.53 eV/atom
data_RbSmHgTe3
_cell_length_a 9.412
_cell_length_b 4.547
_cell_length_c 11.235
_cell_angle_alpha 90.00
_cell_angle_beta 108.89
_cell_angle_gamma 90.00
_space_group_name_H-M_alt 'P 1 21/m 1'
_space_group_IT_number 11
loop_
_space_group_symop_operation_xyz
'x,y,z'
'-x,-y,-z'
'-x,y+1/2,-z'
'x,-y+1/2,z'
loop_
_atom_site_label
_atom_site_fract_x
_atom_site_fract_y
_atom_site_fract_z
Rb1 0.242 0.250 0.277
Sm1 0.316 0.750 0.866
Hg1 0.083 0.250 0.623
Te1 0.081 0.250 0.872
Te2 0.236 0.750 0.556
Te3 0.463 0.750 0.154

---

(6)
# NaCuTeOsS2, optimized geometry, DFT GGA-PBE
# Magnetization   0.06 μB/cell
# Energy   -4.85 eV/atom
data_NaCuTeOsS2
_cell_length_a 3.647
_cell_length_b 14.009
_cell_length_c 9.569
_cell_angle_alpha 90.00
_cell_angle_beta 90.00
_cell_angle_gamma 90.00
_space_group_name_H-M_alt 'C m c m'
_space_group_IT_number 63
_space_group_name_Hall '-C 2c 2'
loop_
_atom_site_label
_atom_site_fract_x
_atom_site_fract_y
_atom_site_fract_z
Na1 0.000 0.207 0.250
Cu1 0.000 0.466 0.750
Te1 0.000 0.101 0.750
Os1 0.000 0.000 0.000
S1 0.000 0.391 0.547

---

(7)
# SrLiTmSe3, optimized geometry, DFT GGA-PBE
# Magnetization   0.01 μB/cell
# Energy   -4.89 eV/atom
data_SrLiTmSe3
_cell_length_a 17.592
_cell_length_b 4.104
_cell_length_c 8.639
_cell_angle_alpha 90.00
_cell_angle_beta 104.19
_cell_angle_gamma 90.00
_space_group_name_H-M_alt 'C 1 2/m 1'
_space_group_IT_number 12
loop_
_space_group_symop_operation_xyz
'x,y,z'
'-x,-y,-z'
'-x,y,-z'
'x,-y,z'
'x+1/2,y+1/2,z'
'-x+1/2,-y+1/2,-z'
'-x+1/2,y+1/2,-z'
'x+1/2,-y+1/2,z'
loop_
_atom_site_label
_atom_site_fract_x
_atom_site_fract_y
_atom_site_fract_z
Sr1 0.134 0.000 0.065
Li1 0.006 0.500 0.701
Tm1 0.166 0.000 0.585
Se1 0.000 0.000 0.500
Se2 0.000 0.500 0.000
Se3 0.168 0.500 0.358
Se4 0.175 0.500 0.813

---

(8)
# NaSiAuO3, optimized geometry, DFT GGA-PBE
# Energy   -5.74 eV/atom
data_NaSiAuO3
_cell_length_a 9.958
_cell_length_b 2.847
_cell_length_c 10.063
_cell_angle_alpha 90.00
_cell_angle_beta 90.00
_cell_angle_gamma 90.00
_space_group_name_H-M_alt 'P n m a'
_space_group_IT_number 62
loop_
_space_group_symop_operation_xyz
'x,y,z'
'-x,-y,-z'
'-x+1/2,-y,z+1/2'
'x+1/2,y,-z+1/2'
'x+1/2,-y+1/2,-z+1/2'
'-x+1/2,y+1/2,z+1/2'
'-x,y+1/2,-z'
'x,-y+1/2,z'
loop_
_atom_site_label
_atom_site_fract_x
_atom_site_fract_y
_atom_site_fract_z
Na1 0.232 0.250 0.147
Si1 0.032 0.250 0.382
Au1 0.037 0.250 0.902
O1 0.078 0.750 0.753
O2 0.087 0.250 0.547
O3 0.127 0.750 0.328

---

Which theoretical density belongs to each record? In order, 9055 11726 6160 4287 5981 6364 5496 6892 kg/m³.